First-principles (PBE) data for a relaxed structure of Tb6YTh4, as listed in Alexandria via LeMat-Bulk.

Calculated values
The formation energy is 5.29 eV/f.u. The value obtained for the energy above the most stable polymorph in this dataset is 0.3187 eV/atom.

Cell lengths 8.5334, 8.5334, 8.5334 Å; angles 125.18, 125.18, 81.24 degrees
Last column: nearest neighbours and their distance in Å.
Atoms (fractional coordinates):
1 Tb 0.0000 0.5000 0.5000  4 Th 3.07
2 Tb 0.0553 0.5726 0.0000  4 Th 3.28-3.58
3 Tb 0.4274 0.4274 0.4826  4 Th 3.28-3.58
4 Tb 0.5000 0.0000 0.5000  4 Th 3.07
5 Tb 0.5726 0.0553 0.0000  4 Th 3.28-3.58
6 Tb 0.9447 0.9447 0.5174  4 Th 3.28-3.58
7 Y 0.5000 0.5000 0.0000  8 Tb 3.75-3.93, 4 Th 3.80
8 Th 0.0955 0.0955 0.3370  3 Tb 3.07-3.28, 2 Th 3.25
9 Th 0.2415 0.9045 0.0000  3 Tb 3.07-3.28, 2 Th 3.25
10 Th 0.7585 0.7585 0.6630  3 Tb 3.07-3.28, 2 Th 3.25
11 Th 0.9045 0.2415 0.0000  3 Tb 3.07-3.28, 2 Th 3.25